VASP calculation (SCAN) on Lu3Cu at its PBEsol-relaxed geometry.

a = 3.432 Å, b = 6.236 Å, c = 9.093 Å
α = 90.00°, β = 90.00°, γ = 105.97°
Positions (direct):
Lu1 0.438 0.875 0.250
Lu2 0.562 0.125 0.750
Lu3 0.135 0.270 0.060
Lu4 0.865 0.730 0.940
Lu5 0.865 0.730 0.560
Lu6 0.135 0.270 0.440
Cu1 0.750 0.501 0.250
Cu2 0.250 0.499 0.750

## Properties
Uncorrected energy   -45.45 eV/atom
Symmetry   Cmcm (63)
Total magnetization   0.0 μB per formula unit
Crystal system   orthorhombic

VASP calculation (SCAN) on SrLaPt2 at its PBEsol-relaxed geometry.

a = 4.181 Å, b = 4.181 Å, c = 7.460 Å
α = 73.73°, β = 73.73°, γ = 60.00°
Positions (direct):
Sr1 0.000 0.000 0.000
Pt1 0.756 0.756 0.731
Pt2 0.244 0.244 0.269
La1 0.500 0.500 0.500

## Properties
Uncorrected energy   -52.53 eV/atom
Symmetry   R-3m (166)
Total magnetization   0.0 μB per formula unit
Crystal system   trigonal

VASP calculation (SCAN) on LaOs2 at its PBEsol-relaxed geometry.

a = 4.293 Å, b = 4.293 Å, c = 7.799 Å
α = 105.98°, β = 105.98°, γ = 90.00°
Positions (direct):
La1 0.000 0.000 0.000
La2 0.250 0.750 0.500
Os1 0.666 0.166 0.332
Os2 0.834 0.334 0.668
Os3 0.416 0.416 0.832
Os4 0.584 0.584 0.168

## Properties
Uncorrected energy   -62.45 eV/atom
Symmetry   I4_1/amd (141)
Total magnetization   0.0 μB per formula unit
Crystal system   tetragonal

VASP calculation (SCAN) on PPt at its PBEsol-relaxed geometry.

a = 4.366 Å, b = 4.366 Å, c = 4.366 Å
α = 60.00°, β = 60.00°, γ = 60.00°
Positions (direct):
P1 0.500 0.500 0.500
P2 0.750 0.750 0.750
Pt1 0.000 0.000 0.000
Pt2 0.250 0.250 0.250

## Properties
Uncorrected energy   -39.77 eV/atom
Symmetry   Fd-3m (227)
Total magnetization   0.0 μB per formula unit
Crystal system   cubic

VASP calculation (SCAN) on Y2InGa2 at its PBEsol-relaxed geometry.

a = 4.769 Å, b = 4.769 Å, c = 6.576 Å
α = 111.26°, β = 111.26°, γ = 90.00°
Site moments in Bohr magnetons follow the coordinates.
Positions (direct):
Y1 0.250 0.750 0.500  0.35
Y2 0.750 0.250 0.500  0.35
Ga1 0.398 0.398 0.796  0.02
Ga2 0.602 0.602 0.204  0.02
In1 0.000 0.000 0.000  0.00

## Properties
Uncorrected energy   -24.54 eV/atom
Symmetry   I4/mmm (139)
Total magnetization   1.0 μB per formula unit
Crystal system   tetragonal

VASP calculation (SCAN) on TaCdPt at its PBEsol-relaxed geometry.

a = 4.372 Å, b = 4.372 Å, c = 4.372 Å
α = 60.00°, β = 60.00°, γ = 60.00°
Site moments in Bohr magnetons follow the coordinates.
Positions (direct):
Cd1 0.500 0.500 0.500  0.05
Pt1 0.250 0.250 0.250  0.08
Ta1 0.000 0.000 0.000  0.36

## Properties
Uncorrected energy   -55.92 eV/atom
Symmetry   F-43m (216)
Total magnetization   0.7 μB per formula unit
Crystal system   cubic

VASP calculation (SCAN) on SrSiTe2 at its PBEsol-relaxed geometry.

a = 5.395 Å, b = 5.395 Å, c = 5.395 Å
α = 60.00°, β = 60.00°, γ = 60.00°
Positions (direct):
Si1 0.500 0.500 0.500
Sr1 0.250 0.250 0.250
Te1 0.000 0.000 0.000
Te2 0.750 0.750 0.750

## Properties
Raw formation energy   0.007 eV/atom
Symmetry   F-43m (216)
Total magnetization   0.0 μB per formula unit
Crystal system   cubic

VASP calculation (SCAN) on Cu2MoSeO7 at its PBEsol-relaxed geometry.

a = 8.076 Å, b = 8.347 Å, c = 9.000 Å
α = 90.00°, β = 90.00°, γ = 104.81°
Site moments in Bohr magnetons follow the coordinates.
Positions (direct):
Cu1 0.310 0.381 0.007  0.72
Cu2 0.690 0.119 0.507  0.72
Cu3 0.690 0.619 0.993  0.72
Cu4 0.310 0.881 0.493  0.72
Cu5 0.314 0.027 0.007  0.71
Cu6 0.686 0.473 0.507  0.71
Cu7 0.686 0.973 0.993  0.71
Cu8 0.314 0.527 0.493  0.71
Mo1 0.122 0.157 0.707  0.06
Mo2 0.878 0.343 0.207  0.06
Mo3 0.878 0.843 0.293  0.06
Mo4 0.122 0.657 0.793  0.06
Se1 0.312 0.204 0.327  0.00
Se2 0.688 0.296 0.827  0.00
Se3 0.688 0.796 0.673  0.00
Se4 0.312 0.704 0.173  0.00
O1 0.383 0.220 0.140  0.12
O2 0.617 0.280 0.640  0.12
O3 0.617 0.780 0.860  0.12
O4 0.383 0.720 0.360  0.12
O5 0.435 0.395 0.385  0.10
O6 0.565 0.105 0.885  0.10
O7 0.565 0.605 0.615  0.10
O8 0.435 0.895 0.115  0.10
O9 0.435 0.077 0.393  0.10
O10 0.565 0.423 0.893  0.10
O11 0.565 0.923 0.607  0.10
O12 0.435 0.577 0.107  0.10
O13 0.216 0.178 0.894  0.09
O14 0.784 0.322 0.394  0.09
O15 0.784 0.822 0.106  0.09
O16 0.216 0.678 0.606  0.09
O17 0.173 0.993 0.610  0.05
O18 0.827 0.507 0.110  0.05
O19 0.827 0.007 0.390  0.05
O20 0.173 0.493 0.890  0.05
O21 0.900 0.109 0.726  0.00
O22 0.100 0.391 0.226  0.00
O23 0.100 0.891 0.274  0.00
O24 0.900 0.609 0.774  0.00
O25 0.186 0.340 0.603  0.05
O26 0.814 0.160 0.103  0.05
O27 0.814 0.660 0.397  0.05
O28 0.186 0.840 0.897  0.05

## Properties
Raw formation energy   -1.302 eV/atom
Symmetry   P2_1/c (14)
Total magnetization   2.0 μB per formula unit
Crystal system   monoclinic

VASP calculation (SCAN) on CdSi2TcMo at its PBEsol-relaxed geometry.

a = 4.657 Å, b = 4.657 Å, c = 4.925 Å
α = 90.00°, β = 90.00°, γ = 90.00°
Site moments in Bohr magnetons follow the coordinates.
Positions (direct):
Mo1 0.500 0.500 0.500  3.34
Si1 0.000 0.500 0.000  -0.03
Si2 0.500 0.000 0.000  -0.03
Tc1 0.000 0.000 0.500  2.36
Cd1 0.000 0.000 0.000  0.04

## Properties
Raw formation energy   2.183 eV/atom
Symmetry   P4/mmm (123)
Total magnetization   6.2 μB per formula unit
Crystal system   tetragonal

VASP calculation (SCAN) on MgCuPb2 at its PBEsol-relaxed geometry.

a = 3.414 Å, b = 3.415 Å, c = 7.730 Å
α = 90.00°, β = 90.00°, γ = 90.00°
Positions (direct):
Cu1 0.500 0.500 0.000
Mg1 0.500 0.500 0.500
Pb1 0.000 0.000 0.781
Pb2 0.000 0.000 0.219

## Properties
Uncorrected energy   -42.81 eV/atom
Symmetry   P4/mmm (123)
Total magnetization   0.0 μB per formula unit
Crystal system   tetragonal

VASP calculation (SCAN) on NdGa3Ni at its PBEsol-relaxed geometry.

a = 4.086 Å, b = 4.086 Å, c = 5.971 Å
α = 110.01°, β = 110.01°, γ = 90.00°
Positions (direct):
Ni1 0.750 0.250 0.500
Nd1 0.000 0.000 0.000
Ga1 0.381 0.381 0.763
Ga2 0.619 0.619 0.237
Ga3 0.250 0.750 0.500

## Properties
Uncorrected energy   -22.39 eV/atom
Symmetry   I-4m2 (119)
Total magnetization   0.0 μB per formula unit
Crystal system   tetragonal

VASP calculation (SCAN) on Ag3OsCl at its PBEsol-relaxed geometry.

a = 5.002 Å, b = 5.002 Å, c = 5.002 Å
α = 90.00°, β = 90.00°, γ = 90.00°
Site moments in Bohr magnetons follow the coordinates.
Positions (direct):
Os1 0.000 0.000 0.000  1.81
Ag1 0.000 0.500 0.000  0.10
Ag2 0.000 0.000 0.500  0.10
Ag3 0.500 0.000 0.000  0.10
Cl1 0.500 0.500 0.500  0.00

## Properties
Raw formation energy   1.366 eV/atom
Symmetry   Pm-3m (221)
Total magnetization   2.3 μB per formula unit
Crystal system   cubic

total magnetization of number 2 (SrLaPt2)? 0.0 μB per formula unit